Li2La3NdSb2O12 | meta-GGA SCAN | single point on PBEsol structure

* SG: P1 (1)
* uncorrected formation energy: -2891 meV/atom

Unit cell a=5.5592 b=5.7454 c=7.9037 alpha=90.00 beta=90.52 gamma=90.14
Atoms (fractional coordinates):
O: 0.7901 0.8067 0.9551
O: 0.9058 0.5338 0.2560
O: 0.2842 0.6976 0.4512
O: 0.3056 0.7179 0.0546
O: 0.4083 0.9713 0.7585
O: 0.6918 0.2876 0.9483
O: 0.8068 0.7852 0.5504
O: 0.1867 0.2119 0.4458
O: 0.7078 0.3070 0.5461
O: 0.0931 0.4699 0.7416
O: 0.2125 0.1927 0.0510
O: 0.6035 0.0304 0.2432
Nd: 0.0166 0.9409 0.2476
Sb: 0.9980 0.4989 0.4984
Sb: 0.5020 0.0010 0.0019
La: 0.5135 0.5527 0.7492
La: 0.4858 0.4473 0.2515
La: 0.9876 0.0505 0.7498
Li: 0.9978 0.4973 0.0018
Li: 0.5026 0.9994 0.4979

=====

LiLa2Ni | meta-GGA SCAN | single point on PBEsol structure

* E_form: -0.10 eV/atom
* SG: P4/mmm (123)

Unit cell a=3.5377 b=3.5377 c=8.0547 alpha=90.00 beta=90.00 gamma=90.00
Atoms (fractional coordinates):
La: 0.0000 0.0000 0.3026
La: 0.0000 0.0000 0.6974
Ni: 0.5000 0.5000 0.5000
Li: 0.5000 0.5000 0.0000

=====

Number 1: DOS(E_F) 0.00 states/eV/cell, calculated density 6.65 g/cm³, volume 252.4 Å³/cell. Number 2: DOS(E_F) 3.98 states/eV/cell, calculated density 5.66 g/cm³, volume 100.8 Å³/cell.